(1)
DFT (meta-GGA SCAN) results for a PBEsol-optimized structure of FeSi2Te.

Summary:
Space group   Cm (8)
Volume   16.84 Å³ per atom
Uncorrected energy   -18.562 eV per atom
Size of the total moment   0.00 μB/cell
Raw formation energy   1.16 eV per formula unit

Cell: 3.9927 3.9927 5.7982 Å, 106.37 106.37 50.08°
Last column: nearest neighbours and their distance in Å.
Sites, in units of the cell vectors:
Fe: 0.0000 0.0000 0.0000  5 Si 2.23-2.48
Si: 0.2662 0.2662 0.8823  3 Fe 2.23-2.34, 1 Si 2.32
Si: 0.5034 0.5034 0.6891  3 Si 2.32-2.53, 2 Fe 2.48
Te: 0.7627 0.7627 0.2738  3 Fe 2.67-2.68, 2 Si 2.84

***

(2)
DFT (meta-GGA SCAN) results for a PBEsol-optimized structure of FeSiTe3.

Summary:
Space group   Pm-3m (221)
Volume   24.34 Å³ per atom
Uncorrected energy   -27.246 eV per atom
Size of the total moment   2.67 μB/cell
Raw formation energy   3.67 eV per formula unit

Cell: 4.9559 4.9559 4.9559 Å, 90.00 90.00 90.00°
Last column: nearest neighbours and their distance in Å.
Sites, in units of the cell vectors:
Fe: 0.0000 0.0000 0.0000  6 Te 2.48
Si: 0.5000 0.5000 0.5000  12 Te 3.50
Te: 0.0000 0.0000 0.5000  2 Fe 2.48
Te: 0.0000 0.5000 0.0000  2 Fe 2.48
Te: 0.5000 0.0000 0.0000  2 Fe 2.48

***

(3)
DFT (meta-GGA SCAN) results for a PBEsol-optimized structure of Ti2FeSi2.

Summary:
Space group   P4/mbm (127)
Volume   13.52 Å³ per atom
Uncorrected energy   -14.724 eV per atom
Size of the total moment   2.39 μB/cell
Raw formation energy   -3.40 eV per formula unit

Cell: 5.9764 5.9764 3.7850 Å, 90.00 90.00 90.00°
Last column: nearest neighbours and their distance in Å.
Sites, in units of the cell vectors:
Ti: 0.1666 0.3334 0.0000  6 Si 2.50-2.64
Ti: 0.3334 0.8334 0.0000  6 Si 2.50-2.64
Ti: 0.6666 0.1666 0.0000  6 Si 2.50-2.64
Ti: 0.8334 0.6666 0.0000  6 Si 2.50-2.64
Fe: 0.0000 0.0000 0.5000  4 Si 2.31
Fe: 0.5000 0.5000 0.5000  4 Si 2.31
Si: 0.1409 0.6409 0.5000  2 Fe 2.31, 1 Si 2.38, 2 Ti 2.50
Si: 0.3591 0.1409 0.5000  2 Fe 2.31, 1 Si 2.38, 2 Ti 2.50
Si: 0.6409 0.8591 0.5000  2 Fe 2.31, 1 Si 2.38, 2 Ti 2.50
Si: 0.8591 0.3591 0.5000  2 Fe 2.31, 1 Si 2.38, 2 Ti 2.50

***

(4)
DFT (meta-GGA SCAN) results for a PBEsol-optimized structure of TiFeSi3.

Summary:
Space group   Pm-3m (221)
Volume   19.68 Å³ per atom
Uncorrected energy   -11.823 eV per atom
Size of the total moment   3.24 μB/cell
Raw formation energy   5.09 eV per formula unit

Cell: 4.6163 4.6163 4.6163 Å, 90.00 90.00 90.00°
Last column: nearest neighbours and their distance in Å.
Sites, in units of the cell vectors:
Ti: 0.0000 0.0000 0.0000  6 Si 2.31
Fe: 0.5000 0.5000 0.5000  12 Si 3.26
Si: 0.0000 0.0000 0.5000  2 Ti 2.31
Si: 0.0000 0.5000 0.0000  2 Ti 2.31
Si: 0.5000 0.0000 0.0000  2 Ti 2.31

***

(5)
DFT (meta-GGA SCAN) results for a PBEsol-optimized structure of Tm2Fe3Si5.

Summary:
Space group   P4/mnc (128)
Volume   13.92 Å³ per atom
Uncorrected energy   -21.433 eV per atom
Size of the total moment   0.00 μB/cell
Raw formation energy   -6.20 eV per formula unit

Cell: 10.1981 10.1981 5.3525 Å, 90.00 90.00 90.00°
Last column: nearest neighbours and their distance in Å.
Sites, in units of the cell vectors:
Tm: 0.0685 0.2365 0.0000  9 Si 2.70-2.98, 2 Fe 3.02
Tm: 0.2365 0.9315 0.0000  9 Si 2.70-2.98, 2 Fe 3.02
Tm: 0.2635 0.4315 0.5000  9 Si 2.70-2.98, 2 Fe 3.02
Tm: 0.4315 0.7365 0.5000  9 Si 2.70-2.98, 2 Fe 3.02
Tm: 0.5685 0.2635 0.5000  9 Si 2.70-2.98, 2 Fe 3.02
Tm: 0.7365 0.5685 0.5000  9 Si 2.70-2.98, 2 Fe 3.02
Tm: 0.7635 0.0685 0.0000  9 Si 2.70-2.98, 2 Fe 3.02
Tm: 0.9315 0.7635 0.0000  9 Si 2.70-2.98, 2 Fe 3.02
Fe: 0.0000 0.5000 0.2500  4 Si 2.29
Fe: 0.0000 0.5000 0.7500  4 Si 2.29
Fe: 0.1230 0.8561 0.5000  6 Si 2.31-2.35
Fe: 0.1439 0.1230 0.5000  6 Si 2.31-2.35
Fe: 0.3561 0.6230 0.0000  6 Si 2.31-2.35
Fe: 0.3770 0.3561 0.0000  6 Si 2.31-2.35
Fe: 0.5000 0.0000 0.2500  4 Si 2.29
Fe: 0.5000 0.0000 0.7500  4 Si 2.29
Fe: 0.6230 0.6439 0.0000  6 Si 2.31-2.35
Fe: 0.6439 0.3770 0.0000  6 Si 2.31-2.35
Fe: 0.8561 0.8770 0.5000  6 Si 2.31-2.35
Fe: 0.8770 0.1439 0.5000  6 Si 2.31-2.35
Si: 0.0000 0.0000 0.2613  4 Fe 2.31, 1 Si 2.55
Si: 0.0000 0.0000 0.7387  4 Fe 2.31, 1 Si 2.55
Si: 0.0236 0.3193 0.5000  4 Fe 2.29-2.35, 2 Si 2.46
Si: 0.1785 0.6785 0.2500  3 Fe 2.32-2.57, 2 Si 2.46
Si: 0.1785 0.6785 0.7500  3 Fe 2.32-2.57, 2 Si 2.46
Si: 0.1807 0.4764 0.0000  4 Fe 2.29-2.35, 2 Si 2.46
Si: 0.3193 0.9764 0.5000  4 Fe 2.29-2.35, 2 Si 2.46
Si: 0.3215 0.1785 0.2500  3 Fe 2.32-2.57, 2 Si 2.46
Si: 0.3215 0.1785 0.7500  3 Fe 2.32-2.57, 2 Si 2.46
Si: 0.4764 0.8193 0.0000  4 Fe 2.29-2.35, 2 Si 2.46
Si: 0.5000 0.5000 0.2387  4 Fe 2.31, 1 Si 2.55
Si: 0.5000 0.5000 0.7613  4 Fe 2.31, 1 Si 2.55
Si: 0.5236 0.1807 0.0000  4 Fe 2.29-2.35, 2 Si 2.46
Si: 0.6785 0.8215 0.2500  3 Fe 2.32-2.57, 2 Si 2.46
Si: 0.6785 0.8215 0.7500  3 Fe 2.32-2.57, 2 Si 2.46
Si: 0.6807 0.0236 0.5000  4 Fe 2.29-2.35, 2 Si 2.46
Si: 0.8193 0.5236 0.0000  4 Fe 2.29-2.35, 2 Si 2.46
Si: 0.8215 0.3215 0.2500  3 Fe 2.32-2.57, 2 Si 2.46
Si: 0.8215 0.3215 0.7500  3 Fe 2.32-2.57, 2 Si 2.46
Si: 0.9764 0.6807 0.5000  4 Fe 2.29-2.35, 2 Si 2.46

***

(6)
DFT (meta-GGA SCAN) results for a PBEsol-optimized structure of Tm2FeSi2.

Summary:
Space group   C2/m (12)
Volume   17.56 Å³ per atom
Uncorrected energy   -29.050 eV per atom
Size of the total moment   0.00 μB/cell
Raw formation energy   -3.42 eV per formula unit

Cell: 5.4845 5.4845 9.7208 Å, 116.93 116.93 43.47°
Last column: nearest neighbours and their distance in Å.
Sites, in units of the cell vectors:
Tm: 0.0015 0.0015 0.1723  6 Si 2.82-3.03, 4 Fe 2.87-3.00
Tm: 0.1886 0.1886 0.6083  6 Si 2.78-3.08
Tm: 0.8114 0.8114 0.3917  6 Si 2.78-3.08
Tm: 0.9985 0.9985 0.8277  6 Si 2.82-3.03, 4 Fe 2.87-3.00
Fe: 0.2710 0.2710 0.1242  4 Si 2.29-2.41
Fe: 0.7290 0.7290 0.8758  4 Si 2.29-2.41
Si: 0.3479 0.3479 0.9364  3 Fe 2.29-2.31
Si: 0.4990 0.4990 0.6274  1 Fe 2.41, 1 Si 2.49
Si: 0.5010 0.5010 0.3726  1 Fe 2.41, 1 Si 2.49
Si: 0.6521 0.6521 0.0636  3 Fe 2.29-2.31